[1]
Density functional theory data (PBE-GGA) for a relaxed Li4Tb3GaS8 crystal.

Lattice parameters (Å, degrees): 7.6996 7.6034 7.7018 120.45 119.99 90.00
Last column: nearest neighbours and their distance in Å.
Fractional coordinates of all 16 atoms:
Li: 0.5000 0.0000 0.0000  6 S 2.82-2.84
Li: 0.5000 0.0000 0.5000  6 S 2.67-2.69
Li: 0.0000 0.0000 0.0000  6 S 2.67-2.69
Li: 0.0000 0.0000 0.5000  6 S 2.67-2.69
Tb: 0.5000 0.5000 0.0000  6 S 2.72-2.75
Tb: 0.5000 0.5000 0.5000  6 S 2.72-2.75
Tb: 0.0000 0.5000 0.5000  6 S 2.72-2.75
Ga: 0.0000 0.5000 0.0000  6 S 2.57-2.59
S: 0.2380 0.7451 0.0071  1 Ga 2.57, 3 Li 2.67-2.84, 2 Tb 2.75
S: 0.2398 0.7466 0.4796  1 Ga 2.59, 3 Li 2.67-2.82, 2 Tb 2.75
S: 0.2490 0.2469 0.4980  3 Li 2.69, 3 Tb 2.72
S: 0.7691 0.7451 0.0071  1 Ga 2.57, 3 Li 2.67-2.84, 2 Tb 2.75
S: 0.2309 0.2549 0.9929  1 Ga 2.57, 3 Li 2.67-2.84, 2 Tb 2.75
S: 0.7510 0.7531 0.5020  3 Li 2.69, 3 Tb 2.72
S: 0.7602 0.2534 0.5204  1 Ga 2.59, 3 Li 2.67-2.82, 2 Tb 2.75
S: 0.7620 0.2549 0.9929  1 Ga 2.57, 3 Li 2.67-2.84, 2 Tb 2.75

Values from the calculation:
E_form (uncorrected) (eV per atom): -1.555
Space-group type: C2/m

=====

[2]
Density functional theory data (PBE-GGA) for a relaxed Ca3Sn2Bi4 crystal.

Lattice parameters (Å, degrees): 6.3273 9.8362 9.8362 78.87 96.24 96.24
Last column: nearest neighbours and their distance in Å.
Fractional coordinates of all 18 atoms:
Ca: 0.9563 0.0137 0.2456  6 Bi 3.24-3.47
Ca: 0.5437 0.7544 0.9863  6 Bi 3.24-3.47
Ca: 0.0437 0.9863 0.7544  6 Bi 3.24-3.47
Ca: 0.4563 0.2456 0.0137  6 Bi 3.24-3.47
Ca: 0.2500 0.6091 0.3909  2 Sn 3.26, 4 Bi 3.37-3.45
Ca: 0.7500 0.3909 0.6091  2 Sn 3.26, 4 Bi 3.37-3.45
Sn: 0.5634 0.1717 0.4062  4 Bi 3.07-3.36, 1 Ca 3.26
Sn: 0.9366 0.5938 0.8283  4 Bi 3.07-3.36, 1 Ca 3.26
Sn: 0.4366 0.8283 0.5938  4 Bi 3.07-3.36, 1 Ca 3.26
Sn: 0.0634 0.4062 0.1717  4 Bi 3.07-3.36, 1 Ca 3.26
Bi: 0.4390 0.9381 0.2356  1 Sn 3.09, 4 Ca 3.24-3.45, 1 Bi 3.30
Bi: 0.0610 0.7644 0.0619  1 Sn 3.09, 4 Ca 3.24-3.45, 1 Bi 3.30
Bi: 0.5610 0.0619 0.7644  1 Sn 3.09, 4 Ca 3.24-3.45, 1 Bi 3.30
Bi: 0.9390 0.2356 0.9381  1 Sn 3.09, 4 Ca 3.24-3.45, 1 Bi 3.30
Bi: 0.0953 0.2331 0.4675  3 Sn 3.07-3.36, 3 Ca 3.34-3.37
Bi: 0.4047 0.5325 0.7669  3 Sn 3.07-3.36, 3 Ca 3.34-3.37
Bi: 0.9047 0.7669 0.5325  3 Sn 3.07-3.36, 3 Ca 3.34-3.37
Bi: 0.5953 0.4675 0.2331  3 Sn 3.07-3.36, 3 Ca 3.34-3.37

Values from the calculation:
Energy of formation from the pure elements (meV per atom): -430
Space-group type: C2/c
Energy relative to the lowest polymorph listed for this composition (kJ per mole of atoms): 0.0

=====

[3]
Density functional theory data (PBE-GGA) for a relaxed GaWSe3 crystal.

Lattice parameters (Å, degrees): 4.9897 4.9897 4.9897 90.00 90.00 90.00
Last column: nearest neighbours and their distance in Å.
Fractional coordinates of all 5 atoms:
Ga: 0.5000 0.5000 0.5000  12 Se 3.53
Se: 0.0000 0.5000 0.0000  2 W 2.49
Se: 0.0000 0.0000 0.5000  2 W 2.49
Se: 0.5000 0.0000 0.0000  2 W 2.49
W: 0.0000 0.0000 0.0000  6 Se 2.49

Values from the calculation:
E_form (uncorrected) (eV per atom): 0.122
Space-group type: Pm-3m
Energy relative to the lowest polymorph listed for this composition (kJ per mole of atoms): 0.0

=====

[4]
Density functional theory data (PBE-GGA) for a relaxed PH2Pd5 crystal.

Lattice parameters (Å, degrees): 3.5938 5.6181 11.2607 90.00 90.00 108.65
Last column: nearest neighbours and their distance in Å.
Fractional coordinates of all 16 atoms:
P: 0.7856 0.5713 0.7500  6 Pd 2.26-2.43
P: 0.2144 0.4287 0.2500  6 Pd 2.26-2.43
H: 0.8840 0.7679 0.4557  4 Pd 1.88-2.01
H: 0.8840 0.7679 0.0443  4 Pd 1.88-2.01
H: 0.1160 0.2321 0.5443  4 Pd 1.88-2.01
H: 0.1160 0.2321 0.9557  4 Pd 1.88-2.01
Pd: 0.9416 0.8833 0.8862  2 H 1.88-2.01
Pd: 0.9416 0.8833 0.6138  2 H 1.88-2.01
Pd: 0.3332 0.6665 0.4346  2 H 1.89
Pd: 0.3332 0.6665 0.0654  2 H 1.89
Pd: 0.8444 0.6888 0.2500  2 P 2.27, 2 H 2.35
Pd: 0.1556 0.3112 0.7500  2 P 2.27, 2 H 2.35
Pd: 0.6668 0.3335 0.5654  2 H 1.89
Pd: 0.6668 0.3335 0.9346  2 H 1.89
Pd: 0.0584 0.1167 0.1138  2 H 1.88-2.01
Pd: 0.0584 0.1167 0.3862  2 H 1.88-2.01

Values from the calculation:
Space-group type: Cmcm
Energy relative to the lowest polymorph listed for this composition (kJ per mole of atoms): 2.8

=====

[5]
Density functional theory data (PBE-GGA) for a relaxed LiSm4S5 crystal.

Lattice parameters (Å, degrees): 5.6212 6.8896 6.8896 80.42 65.92 65.92
Last column: nearest neighbours and their distance in Å.
Fractional coordinates of all 10 atoms:
Li: 0.0039 0.0000 0.0000  6 S 2.73-2.83
Sm: 0.3999 0.4000 0.8018  6 S 2.81-2.91
Sm: 0.7999 0.8018 0.6000  6 S 2.81-2.91
Sm: 0.2017 0.1982 0.4000  6 S 2.81-2.91
Sm: 0.6017 0.6000 0.1982  6 S 2.81-2.91
S: 0.9052 0.3872 0.8040  1 Li 2.73, 5 Sm 2.81-2.91
S: 0.2923 0.8040 0.6128  1 Li 2.73, 5 Sm 2.81-2.91
S: 0.7092 0.1960 0.3872  1 Li 2.73, 5 Sm 2.81-2.91
S: 0.0964 0.6128 0.1960  1 Li 2.73, 5 Sm 2.81-2.91
S: 0.5002 0.0000 0.0000  2 Li 2.79-2.83, 4 Sm 2.81

Values from the calculation:
E_form (uncorrected) (eV per atom): -1.952
Space-group type: I4
Energy relative to the lowest polymorph listed for this composition (kJ per mole of atoms): 0.0

=====

no.,mass density (g/cm3)
1,4.36
2,6.67
3,6.56
4,8.71
5,5.74